No. 1
Material: BaSrIN
Method: DFT, PBE
State: optimized geometry

Unit cell a=4.1331 b=4.1331 c=8.4705 alpha=75.88 beta=75.88 gamma=60.00
Element x y z (fractional)
I 0.3514 0.3514 0.9457
N 0.8609 0.8609 0.4172
Ba 0.1346 0.1346 0.5962
Sr 0.5824 0.5824 0.2528

Results
formation energy from raw total energies: -24.0 kcal/mol of atoms
electronic total energy: -0.162 Ha/atom

No. 2
Material: PaNb2W
Method: DFT, PBE
State: optimized geometry

Unit cell a=3.3566 b=3.3566 c=6.8038 alpha=90.00 beta=90.00 gamma=90.00
Element x y z (fractional)
Nb 0.0000 0.0000 0.2346
W 0.5000 0.5000 0.0000
Nb 0.0000 0.0000 0.7654
Pa 0.5000 0.5000 0.5000

Results
formation energy from the elements: 0.1210 eV per atom
offset from the most stable computed form: 0.073 eV per atom
electronic total energy: -0.387 Ha/atom

No. 3
Material: Lu2PuMg
Method: DFT, PBE
State: optimized geometry

Unit cell a=3.3196 b=3.3196 c=12.0770 alpha=82.10 beta=82.10 gamma=60.00
Element x y z (fractional)
Lu 0.9098 0.9098 0.2706
Lu 0.0902 0.0902 0.7294
Pu 0.5000 0.5000 0.5000
Mg 0.0000 0.0000 0.0000

Results
formation energy from the elements: 0.2483 eV per atom
offset from the most stable computed form: 0.202 eV per atom
electronic total energy: -0.220 Ha/atom

No. 4
Material: Cd4SiCl
Method: DFT, PBE
State: optimized geometry

Unit cell a=5.8213 b=5.8213 c=5.8213 alpha=60.00 beta=60.00 gamma=60.00
Element x y z (fractional)
Si 0.0000 0.0000 0.0000
Cd 0.3746 0.3746 0.8763
Cd 0.8763 0.3746 0.3746
Cl 0.7500 0.7500 0.7500
Cd 0.3746 0.8763 0.3746
Cd 0.3746 0.3746 0.3746

Results
formation energy from raw total energies: 5.1 kcal/mol of atoms
electronic total energy: -0.059 Ha/atom

No. 5
Material: NdHgClO2
Method: DFT, PBE
State: optimized geometry

Unit cell a=3.7305 b=6.8741 c=7.6135 alpha=96.32 beta=90.00 gamma=90.00
Element x y z (fractional)
O 0.7500 0.9120 0.6146
O 0.2500 0.6737 0.3366
O 0.7500 0.3263 0.6634
Nd 0.2500 0.1191 0.7141
Cl 0.7500 0.2074 0.0368
O 0.2500 0.0880 0.3854
Hg 0.7500 0.6221 0.6648
Hg 0.2500 0.3779 0.3352
Nd 0.7500 0.8809 0.2859
Cl 0.2500 0.7926 0.9632

Results
formation energy from raw total energies: -44.3 kcal/mol of atoms
electronic total energy: -0.194 Ha/atom

No. 6
Material: NpCu2I6
Method: DFT, PBE
State: optimized geometry

Unit cell a=7.5785 b=10.3741 c=10.3741 alpha=76.61 beta=84.64 gamma=84.64
Element x y z (fractional)
Np 0.2500 0.0982 0.9018
I 0.8926 0.1820 0.0342
I 0.6074 0.9658 0.8180
Cu 0.8051 0.4474 0.3044
Np 0.7500 0.9018 0.0982
I 0.1337 0.1368 0.6253
I 0.8632 0.5387 0.7268
I 0.1368 0.4613 0.2732
I 0.6337 0.6253 0.1368
Cu 0.3051 0.3044 0.4474
I 0.8663 0.8632 0.3747
Cu 0.6949 0.6956 0.5526
Cu 0.1949 0.5526 0.6956
I 0.3632 0.7268 0.5387
I 0.3663 0.3747 0.8632
I 0.3926 0.0342 0.1820
I 0.6368 0.2732 0.4613
I 0.1074 0.8180 0.9658

Results
offset from the most stable computed form: 0.030 eV per atom
formation energy from raw total energies: -10.4 kcal/mol of atoms
electronic total energy: -0.141 Ha/atom

No. 7
Material: GdHoAgOs
Method: DFT, PBE
State: optimized geometry

Unit cell a=4.9606 b=4.9606 c=4.9606 alpha=60.00 beta=60.00 gamma=60.00
Element x y z (fractional)
Ho 0.0000 0.0000 0.0000
Ag 0.2500 0.2500 0.2500
Gd 0.5000 0.5000 0.5000
Os 0.7500 0.7500 0.7500

Results
formation energy from the elements: -0.2510 eV per atom
electronic total energy: -0.310 Ha/atom

No. 8
Material: CaCrCl2
Method: DFT, PBE
State: optimized geometry

Unit cell a=5.6858 b=5.6858 c=5.3453 alpha=86.00 beta=86.00 gamma=41.84
Element x y z (fractional)
Cl 0.5970 0.5970 0.4579
Cl 0.9030 0.9030 0.0421
Ca 0.2500 0.2500 0.2500
Cr 0.7500 0.7500 0.7500

Results
offset from the most stable computed form: 0.031 eV per atom
formation energy from raw total energies: -20.7 kcal/mol of atoms
electronic total energy: -0.174 Ha/atom

No. 9
Material: In3BI
Method: DFT, PBE
State: optimized geometry

Unit cell a=6.3707 b=6.3707 c=6.3707 alpha=90.00 beta=90.00 gamma=90.00
Element x y z (fractional)
In 0.0000 0.0000 0.5000
B 0.5000 0.5000 0.5000
In 0.0000 0.5000 0.0000
I 0.0000 0.0000 0.0000
In 0.5000 0.0000 0.0000

Results
offset from the most stable computed form: 1.094 eV per atom
formation energy from raw total energies: 33.7 kcal/mol of atoms
electronic total energy: -0.067 Ha/atom

No. 10
Material: Sc6P2HS3
Method: DFT, PBE
State: optimized geometry

Unit cell a=3.6901 b=7.3275 c=8.2049 alpha=103.94 beta=103.00 gamma=90.00
Element x y z (fractional)
H 0.5000 0.0000 0.0000
Sc 0.6689 0.5775 0.3379
Sc 0.3324 0.9138 0.6647
S 0.1663 0.8337 0.3327
Sc 0.9996 0.2523 0.9991
Sc 0.0004 0.7477 0.0009
P 0.1635 0.3266 0.3270
Sc 0.3311 0.4225 0.6621
Sc 0.6676 0.0862 0.3353
S 0.8337 0.1663 0.6673
S 0.5000 0.5000 0.0000
P 0.8365 0.6734 0.6730

Results
electronic total energy: -0.253 Ha/atom

No. 11
Material: BaPtW2
Method: DFT, PBE
State: optimized geometry

Unit cell a=6.4999 b=6.4999 c=6.4999 alpha=154.85 beta=132.85 gamma=54.18
Element x y z (fractional)
Ba 0.7500 0.2500 0.5000
Pt 0.2500 0.7500 0.5000
W 0.0392 0.0392 0.0000
W 0.4608 0.4608 0.0000

Results
formation energy from the elements: 0.7826 eV per atom
offset from the most stable computed form: 0.356 eV per atom
electronic total energy: -0.282 Ha/atom

> Which formula does entry 6 have?

NpCu2I6